# 1
A plane-wave DFT calculation with PBE-GGA was carried out for a relaxed Ta2Si2Ge crystal.

a b c (Å): 4.113 4.113 10.984
angles (deg): 90.00 90.00 90.00
Space group I4/mmm (No. 139)
Asymmetric unit:
Ta 0.000 0.500 0.250 x4
Si 0.000 0.000 0.104 x4
Ge 0.000 0.000 0.500 x2

Energy above the lowest structure with this stoichiometry in meV per atom: 494



# 2
A plane-wave DFT calculation with PBE-GGA was carried out for a relaxed TbSiTc4Ge crystal.

a b c (Å): 4.086 4.116 14.061
angles (deg): 90.00 90.00 90.00
Space group Amm2 (No. 38)
Asymmetric unit:
Tb 0.000 0.000 0.000 x2
Si 0.500 0.000 0.412 x2
Tc 0.000 0.000 0.310 x2
Tc 0.000 0.000 0.702 x2
Tc 0.500 0.000 0.195 x2
Tc 0.500 0.000 0.816 x2
Ge 0.500 0.000 0.587 x2

Final energy in eV per atom: -8.4763



# 3
A plane-wave DFT calculation with PBE-GGA was carried out for a relaxed TbSiGeW4 crystal.

a b c (Å): 3.439 4.360 16.187
angles (deg): 90.00 90.00 90.00
Space group Amm2 (No. 38)
Asymmetric unit:
Tb 0.000 0.000 0.000 x2
Si 0.500 0.000 0.426 x2
Ge 0.500 0.000 0.575 x2
W 0.000 0.000 0.315 x2
W 0.000 0.000 0.693 x2
W 0.500 0.000 0.179 x2
W 0.500 0.000 0.828 x2

Final energy in eV per atom: -9.6395



# 4
A plane-wave DFT calculation with PBE-GGA was carried out for a relaxed SiTcGe crystal.

a b c (Å): 5.775 5.775 5.775
angles (deg): 90.00 90.00 90.00
Space group F-43m (No. 216)
Asymmetric unit:
Si 0.000 0.000 0.000 x4
Tc 0.250 0.250 0.250 x4
Ge 0.250 0.250 0.750 x4

Energy above the lowest structure with this stoichiometry in meV per atom: 176



Question: What is the formula in the third record?
Answer: TbSiGeW4



Question: Number 2 is which compound?
Answer: TbSiTc4Ge



Question: What is the formula in the second record?
Answer: TbSiTc4Ge